A relaxed Pr2DyF11 crystal. Source: Alexandria, functional PBE-GGA.

The total magnetization comes out at 2.114 μB/f.u. The calculated total energy comes out at -5.884 eV/atom. As for the energy relative to the elements, uncorrected: -328.2 kJ/mol of atoms.

Cell: 8.761 10.510 11.373 Å, 90.00 90.00 90.00°
Space group Ibam (No. 72)
Asymmetric unit:
Pr (0.165, 0.191, 0.000) [8 per cell]
Dy (0.000, 0.500, 0.250) [4 per cell]
F (0.000, 0.000, 0.000) [4 per cell]
F (0.099, 0.332, 0.148) [16 per cell]
F (0.106, 0.186, 0.500) [8 per cell]
F (0.194, 0.428, 0.365) [16 per cell]

A relaxed PrDy2F crystal. Source: Alexandria, functional PBE-GGA.

The total magnetization comes out at 0.000 μB/f.u. The calculated total energy comes out at -4.865 eV/atom. As for the energy relative to the elements, uncorrected: -86.9 kJ/mol of atoms.

Cell: 3.6342 3.6342 28.3284 Å, 90.00 90.00 120.00°
Space group R-3m (No. 166, hexagonal axes)
Asymmetric unit:
Pr (0.0000, 0.0000, 0.0000) [3 per cell]
Dy (0.0000, 0.0000, 0.1191) [6 per cell]
F (0.0000, 0.0000, 0.5000) [3 per cell]

A relaxed DyPtF7 crystal. Source: Alexandria, functional PBE-GGA.

The total magnetization comes out at 0.000 μB/f.u. The calculated total energy comes out at -5.229 eV/atom. As for the energy relative to the elements, uncorrected: -250.0 kJ/mol of atoms.

Cell: 8.884 5.542 11.984 Å, 90.00 117.55 90.00°
Space group P2_1/c (No. 14)
Asymmetric unit:
Dy (0.186, 0.239, 0.265) [4 per cell]
Pt (0.272, 0.742, 0.043) [4 per cell]
F (0.024, 0.746, 0.950) [4 per cell]
F (0.030, 0.586, 0.732) [4 per cell]
F (0.254, 0.552, 0.175) [4 per cell]
F (0.275, 0.036, 0.136) [4 per cell]
F (0.278, 0.059, 0.457) [4 per cell]
F (0.297, 0.563, 0.415) [4 per cell]
F (0.479, 0.227, 0.358) [4 per cell]

A relaxed DyPuF2 crystal. Source: Alexandria, functional PBE-GGA.

The total magnetization comes out at 6.697 μB/f.u. The calculated total energy comes out at -7.828 eV/atom. As for the energy relative to the elements, uncorrected: -208.3 kJ/mol of atoms.

Cell: 3.5750 3.5750 23.3589 Å, 90.00 90.00 120.00°
Space group R-3m (No. 166, hexagonal axes)
Asymmetric unit:
Dy (0.0000, 0.0000, 0.0000) [3 per cell]
Pu (0.0000, 0.0000, 0.5000) [3 per cell]
F (0.0000, 0.0000, 0.0947) [6 per cell]

A relaxed Dy2PuF11 crystal. Source: Alexandria, functional PBE-GGA.

The total magnetization comes out at 3.000 μB/f.u. The calculated total energy comes out at -6.784 eV/atom. As for the energy relative to the elements, uncorrected: -350.5 kJ/mol of atoms.

Cell: 8.076 10.340 11.026 Å, 90.00 90.00 90.00°
Space group Ibam (No. 72)
Asymmetric unit:
Dy (0.135, 0.181, 0.000) [8 per cell]
Pu (0.000, 0.500, 0.250) [4 per cell]
F (0.000, 0.000, 0.000) [4 per cell]
F (0.095, 0.331, 0.150) [16 per cell]
F (0.127, 0.225, 0.500) [8 per cell]
F (0.210, 0.433, 0.360) [16 per cell]

A relaxed DyPu2F11 crystal. Source: Alexandria, functional PBE-GGA.

The total magnetization comes out at 8.000 μB/f.u. The calculated total energy comes out at -7.476 eV/atom. As for the energy relative to the elements, uncorrected: -350.2 kJ/mol of atoms.

Cell: 8.422 10.234 10.961 Å, 90.00 90.00 90.00°
Space group Ibam (No. 72)
Asymmetric unit:
Dy (0.000, 0.000, 0.250) [4 per cell]
Pu (0.154, 0.319, 0.000) [8 per cell]
F (0.000, 0.500, 0.000) [4 per cell]
F (0.087, 0.178, 0.142) [16 per cell]
F (0.131, 0.288, 0.500) [8 per cell]
F (0.216, 0.068, 0.363) [16 per cell]

A relaxed Dy2PuF crystal. Source: Alexandria, functional PBE-GGA.

The total magnetization comes out at 6.082 μB/f.u. The calculated total energy comes out at -7.126 eV/atom. As for the energy relative to the elements, uncorrected: -74.7 kJ/mol of atoms.

Cell: 3.3455 3.3455 30.1591 Å, 90.00 90.00 120.00°
Space group R-3m (No. 166, hexagonal axes)
Asymmetric unit:
Dy (0.0000, 0.0000, 0.1078) [6 per cell]
Pu (0.0000, 0.0000, 0.0000) [3 per cell]
F (0.0000, 0.0000, 0.5000) [3 per cell]

A relaxed RbDyF4 crystal. Source: Alexandria, functional PBE-GGA.

The total magnetization comes out at 0.009 μB/f.u. The calculated total energy comes out at -5.867 eV/atom. As for the energy relative to the elements, uncorrected: -356.1 kJ/mol of atoms.

Cell: 6.249 3.649 16.159 Å, 90.00 90.00 90.00°
Space group Pnma (No. 62)
Asymmetric unit:
Rb (0.227, 0.250, 0.200) [4 per cell]
Dy (0.249, 0.750, 0.445) [4 per cell]
F (0.001, 0.250, 0.053) [4 per cell]
F (0.102, 0.250, 0.820) [4 per cell]
F (0.114, 0.250, 0.376) [4 per cell]
F (0.131, 0.250, 0.536) [4 per cell]